12
Lattice="-3.3652 6.7178 3.6517 3.3652 -6.7178 3.6517 3.3652 6.7178 -3.6517" Properties=species:S:1:pos:R:3 comment="K2CdGePt2 | Alexandria via LeMat-Bulk | PBE | optimized geometry" magmom_total_mub_per_fu=0.0 delta_e_f_ev_per_atom=-0.321 pbc="T T T"
K 1.6690 2.4946 0.0000
K 1.6690 -2.4946 3.6517
K 1.6962 9.2124 0.0000
K 1.6962 4.2231 3.6517
Cd 3.3652 0.0000 1.8259
Cd 0.0000 6.7178 1.8259
Ge 0.0000 0.0000 1.8259
Ge 0.0000 0.0000 5.4776
Pt 5.3068 0.8624 0.0000
Pt 1.9416 5.8554 0.0000
Pt 1.4236 0.8624 3.6517
Pt -1.9416 5.8554 3.6517